Record 1
Here is crystalline TeCl2 at its relaxed geometry from Alexandria via LeMat-Bulk. Energies are from PBE.

## Properties
Formation energy from raw total energies   -127.6 meV/atom
Mass density   3.56 Mg/m³
Crystal system   orthorhombic

```
TeCl2
1.0
1.667 -13.166 0.000
1.667 13.166 0.000
0.000 0.000 4.213
Te Cl
2 4
Direct
0.126 0.874 0.750
0.874 0.126 0.250
0.185 0.815 0.250
0.428 0.572 0.750
0.572 0.428 0.250
0.815 0.185 0.750
```



Record 2
Here is crystalline TeCl4 at its relaxed geometry from Alexandria via LeMat-Bulk. Energies are from PBE.

## Properties
Formation energy from raw total energies   -103.0 meV/atom
Mass density   3.11 Mg/m³
Offset from the most stable computed form   0.506 eV/atom
Crystal system   cubic

```
TeCl4
1.0
5.238 0.000 0.000
0.000 5.238 0.000
0.000 0.000 5.238
Te Cl
1 4
Direct
0.000 0.000 0.000
0.000 0.000 0.500
0.000 0.500 0.000
0.500 0.000 0.000
0.500 0.500 0.500
```



Record 3
Here is crystalline TeCl at its relaxed geometry from Alexandria via LeMat-Bulk. Energies are from PBE.

## Properties
Formation energy from raw total energies   -50.6 meV/atom
Mass density   4.77 Mg/m³
Crystal system   hexagonal

```
TeCl
1.0
3.551 0.000 0.000
-1.776 3.076 0.000
0.000 0.000 10.391
Te Cl
2 2
Direct
0.333 0.667 0.000
0.667 0.333 0.500
0.333 0.667 0.767
0.667 0.333 0.267
```



Record 4
Here is crystalline TeCl at its relaxed geometry from Alexandria via LeMat-Bulk. Energies are from PBE.

## Properties
Formation energy from raw total energies   333.9 meV/atom
Mass density   2.61 Mg/m³
Crystal system   cubic

```
TeCl
1.0
-4.697 4.697 4.697
4.697 -4.697 4.697
4.697 4.697 -4.697
Te Cl
4 4
Direct
0.000 0.000 0.432
0.000 0.432 0.000
0.432 0.000 0.000
0.568 0.568 0.568
0.000 0.000 0.725
0.000 0.725 0.000
0.275 0.275 0.275
0.725 0.000 0.000
```



Record 5
Here is crystalline TeCl at its relaxed geometry from Alexandria via LeMat-Bulk. Energies are from PBE.

## Properties
Formation energy from raw total energies   -57.0 meV/atom
Mass density   4.89 Mg/m³
Crystal system   hexagonal

```
TeCl
1.0
3.468 0.000 0.000
-1.734 3.003 0.000
0.000 0.000 5.314
Te Cl
1 1
Direct
0.000 0.000 0.000
0.000 0.000 0.500
```



Record 6
Here is crystalline TeCl at its relaxed geometry from Alexandria via LeMat-Bulk. Energies are from PBE.

## Properties
Formation energy from raw total energies   380.9 meV/atom
Mass density   5.51 Mg/m³
Crystal system   cubic

```
TeCl
1.0
3.664 0.000 0.000
0.000 3.664 0.000
0.000 0.000 3.664
Te Cl
1 1
Direct
0.000 0.000 0.000
0.500 0.500 0.500
```



Record 7
Here is crystalline TeCl at its relaxed geometry from Alexandria via LeMat-Bulk. Energies are from PBE.

## Properties
Formation energy from raw total energies   -266.3 meV/atom
Mass density   3.01 Mg/m³
Crystal system   orthorhombic

```
TeCl
1.0
0.000 4.072 12.951
3.415 0.000 12.951
3.415 4.072 0.000
Te Cl
4 4
Direct
0.069 0.681 0.681
0.319 0.931 0.931
0.681 0.069 0.069
0.931 0.319 0.319
0.191 0.191 0.559
0.441 0.441 0.809
0.559 0.559 0.191
0.809 0.809 0.441
```



Record 8
Here is crystalline Te2Cl13 at its relaxed geometry from Alexandria via LeMat-Bulk. Energies are from PBE.

## Properties
Formation energy from raw total energies   -309.1 meV/atom
Mass density   2.04 Mg/m³
Crystal system   triclinic

```
Te2Cl13
1.0
7.414 0.000 0.000
2.098 8.422 0.000
2.079 2.895 9.341
Te Cl
2 13
Direct
0.170 0.123 0.238
0.830 0.877 0.762
0.000 0.000 0.500
0.126 0.888 0.181
0.132 0.729 0.828
0.202 0.348 0.317
0.320 0.235 0.007
0.363 0.510 0.534
0.461 0.968 0.320
0.539 0.032 0.680
0.637 0.490 0.466
0.680 0.765 0.993
0.798 0.652 0.683
0.868 0.271 0.172
0.874 0.112 0.819
```



Record 9
Here is crystalline TeCl at its relaxed geometry from Alexandria via LeMat-Bulk. Energies are from PBE.

## Properties
Formation energy from raw total energies   -125.2 meV/atom
Mass density   2.88 Mg/m³
Crystal system   tetragonal

```
TeCl
1.0
8.429 0.000 0.000
0.000 8.429 0.000
0.000 0.000 5.285
Te Cl
4 4
Direct
0.115 0.115 0.000
0.385 0.615 0.500
0.615 0.385 0.500
0.885 0.885 0.000
0.140 0.140 0.500
0.360 0.640 0.000
0.640 0.360 0.000
0.860 0.860 0.500
```



Record 10
Here is crystalline TeCl at its relaxed geometry from Alexandria via LeMat-Bulk. Energies are from PBE.

## Properties
Formation energy from raw total energies   -176.5 meV/atom
Mass density   3.55 Mg/m³
Crystal system   monoclinic

```
TeCl
1.0
4.419 0.000 0.000
0.000 4.595 0.000
-1.634 0.000 7.512
Te Cl
2 2
Direct
0.239 0.250 0.471
0.761 0.750 0.529
0.357 0.250 0.790
0.643 0.750 0.210
```



Record 11
Here is crystalline TeCl at its relaxed geometry from Alexandria via LeMat-Bulk. Energies are from PBE.

## Properties
Formation energy from raw total energies   -223.6 meV/atom
Mass density   3.79 Mg/m³
Crystal system   tetragonal

```
TeCl
1.0
-6.621 6.621 1.629
6.621 -6.621 1.629
6.621 6.621 -1.629
Te Cl
4 4
Direct
0.116 0.120 0.236
0.120 0.884 0.004
0.880 0.116 0.996
0.884 0.880 0.764
0.114 0.304 0.418
0.304 0.886 0.190
0.696 0.114 0.810
0.886 0.696 0.582
```



Record 12
Here is crystalline Te2Cl3 at its relaxed geometry from Alexandria via LeMat-Bulk. Energies are from PBE.

## Properties
Formation energy from raw total energies   136.2 meV/atom
Mass density   3.96 Mg/m³
Offset from the most stable computed form   0.301 eV/atom
Crystal system   trigonal

```
Te2Cl3
1.0
2.338 1.350 8.010
-2.338 1.350 8.010
0.000 -2.700 8.010
Te Cl
2 3
Direct
0.103 0.103 0.103
0.897 0.897 0.897
0.264 0.264 0.264
0.500 0.500 0.500
0.736 0.736 0.736
```



Record 13
Here is crystalline TeCl4 at its relaxed geometry from Alexandria via LeMat-Bulk. Energies are from PBE.

## Properties
Formation energy from raw total energies   -66.6 meV/atom
Mass density   3.41 Mg/m³
Offset from the most stable computed form   0.542 eV/atom
Crystal system   cubic

```
TeCl4
1.0
-3.202 3.202 3.202
3.202 -3.202 3.202
3.202 3.202 -3.202
Te Cl
1 4
Direct
0.000 0.000 0.000
0.000 0.000 0.500
0.000 0.500 0.000
0.500 0.000 0.000
0.500 0.500 0.500
```



Record 14
Here is crystalline TeCl at its relaxed geometry from Alexandria via LeMat-Bulk. Energies are from PBE.

## Properties
Formation energy from raw total energies   -296.8 meV/atom
Mass density   4.14 Mg/m³
Crystal system   trigonal

```
TeCl
1.0
2.082 1.202 8.719
-2.082 1.202 8.719
0.000 -2.404 8.719
Te Cl
2 2
Direct
0.201 0.201 0.201
0.799 0.799 0.799
0.400 0.400 0.400
0.600 0.600 0.600
```



Record 15
Here is crystalline TeCl2 at its relaxed geometry from Alexandria via LeMat-Bulk. Energies are from PBE.

## Properties
Formation energy from raw total energies   136.5 meV/atom
Mass density   4.45 Mg/m³
Crystal system   hexagonal

```
TeCl2
1.0
4.764 0.000 0.000
-2.382 4.126 0.000
0.000 0.000 7.541
Te Cl
2 4
Direct
0.333 0.667 0.250
0.667 0.333 0.750
0.000 0.000 0.000
0.000 0.000 0.500
0.333 0.667 0.750
0.667 0.333 0.250
```



Record 16
Here is crystalline Te5Cl at its relaxed geometry from Alexandria via LeMat-Bulk. Energies are from PBE.

## Properties
Formation energy from raw total energies   -40.9 meV/atom
Mass density   4.91 Mg/m³
Offset from the most stable computed form   0.000 eV/atom
Crystal system   monoclinic

```
Te5Cl
1.0
6.758 -2.048 0.000
6.758 2.048 0.000
-3.215 0.000 8.228
Te Cl
5 1
Direct
0.000 0.000 0.000
0.063 0.063 0.352
0.329 0.329 0.024
0.660 0.660 0.961
0.725 0.725 0.451
0.378 0.378 0.554
```



Record 17
Here is crystalline Te5Cl3 at its relaxed geometry from Alexandria via LeMat-Bulk. Energies are from PBE.

## Properties
Formation energy from raw total energies   197.6 meV/atom
Mass density   5.19 Mg/m³
Crystal system   hexagonal

```
Te5Cl3
1.0
8.932 0.000 0.000
-4.466 7.736 0.000
0.000 0.000 6.888
Te Cl
10 6
Direct
0.000 0.179 0.250
0.000 0.821 0.750
0.179 0.000 0.250
0.179 0.179 0.750
0.333 0.667 0.000
0.333 0.667 0.500
0.667 0.333 0.000
0.667 0.333 0.500
0.821 0.000 0.750
0.821 0.821 0.250
0.000 0.465 0.750
0.000 0.535 0.250
0.465 0.000 0.750
0.465 0.465 0.250
0.535 0.000 0.250
0.535 0.535 0.750
```



Record 18
Here is crystalline TeCl4 at its relaxed geometry from Alexandria via LeMat-Bulk. Energies are from PBE.

## Properties
Formation energy from raw total energies   -601.1 meV/atom
Mass density   2.31 Mg/m³
Offset from the most stable computed form   0.008 eV/atom
Crystal system   monoclinic

```
TeCl4
1.0
4.119 -8.113 0.000
4.119 8.113 0.000
-3.908 0.000 5.788
Te Cl
2 8
Direct
0.069 0.931 0.750
0.931 0.069 0.250
0.042 0.376 0.246
0.159 0.284 0.694
0.284 0.159 0.194
0.376 0.042 0.746
0.624 0.958 0.254
0.716 0.841 0.806
0.841 0.716 0.306
0.958 0.624 0.754
```



Record 19
Here is crystalline TeCl at its relaxed geometry from Alexandria via LeMat-Bulk. Energies are from PBE.

## Properties
Formation energy from raw total energies   -120.3 meV/atom
Mass density   4.80 Mg/m³
Crystal system   monoclinic

```
TeCl
1.0
3.311 0.000 0.000
0.000 4.201 0.000
-1.292 0.000 8.102
Te Cl
2 2
Direct
0.043 0.250 0.127
0.957 0.750 0.873
0.341 0.250 0.684
0.659 0.750 0.316
```



Record 20
Here is crystalline TeCl2 at its relaxed geometry from Alexandria via LeMat-Bulk. Energies are from PBE.

## Properties
Formation energy from raw total energies   -46.6 meV/atom
Mass density   4.13 Mg/m³
Crystal system   tetragonal

```
TeCl2
1.0
4.886 0.000 0.000
0.000 4.886 0.000
0.000 0.000 3.340
Te Cl
1 2
Direct
0.000 0.000 0.000
0.000 0.500 0.500
0.500 0.000 0.500
```